No. 1
## YW2Br (PBE-GGA)

Data for a relaxed structure of YW2Br.

Results
formation energy from raw total energies = 84 meV/atom
symmetry = Amm2, No. 38
V = 86.0 Å³/cell
total moment = 0.000 Bohr magnetons per cell
uncorrected energy = -8.43 eV/atom

Structure (POSCAR):
```
YW2Br
1.0
-0.447 -1.953 -2.569
-2.407 -1.627 1.656
-6.573 4.206 -2.052
W Br Y
2 1 1
Cartesian
-2.264 -1.032 1.179
-2.136 -0.400 -1.390
-7.407 0.650 -1.269
-4.517 1.072 -0.028
```

***

No. 2
## Y3WBr (PBE-GGA)

Data for a relaxed structure of Y3WBr.

Results
formation energy from raw total energies = 633 meV/atom
symmetry = Pm-3m, No. 221
V = 140.9 Å³/cell
total moment = 0.091 Bohr magnetons per cell
uncorrected energy = -6.17 eV/atom

Structure (POSCAR):
```
Y3WBr
1.0
-3.072 4.000 -1.281
-4.156 -2.666 1.642
0.606 1.992 4.769
W Y Br
1 3 1
Cartesian
-3.311 1.663 2.565
-2.078 -1.333 0.821
0.303 0.996 2.385
-1.536 2.000 -0.640
0.000 0.000 0.000
```

***

No. 3
## YW2Br (PBE-GGA)

Data for a relaxed structure of YW2Br.

Results
formation energy from raw total energies = 347 meV/atom
symmetry = Cmm2, No. 35
V = 85.6 Å³/cell
total moment = 0.000 Bohr magnetons per cell
uncorrected energy = -8.16 eV/atom

Structure (POSCAR):
```
YW2Br
1.0
3.150 -0.008 0.000
-1.251 2.891 0.000
0.000 0.000 9.405
Br Y W
1 1 2
Cartesian
0.950 1.442 6.888
0.000 0.000 4.643
0.000 0.000 0.384
0.950 1.442 2.194
```